(1)
DFT (PBE) results for crystalline ScGePS2 at its relaxed geometry.

a = 4.8649 Å, b = 4.8649 Å, c = 4.9903 Å
α = 90.00°, β = 90.00°, γ = 90.00°
Fractional positions:
Sc  0.0000  0.0000  0.0000
Ge  0.5000  0.5000  0.5000
P  0.0000  0.0000  0.5000
S  0.0000  0.5000  0.0000
S  0.5000  0.0000  0.0000

## Properties
Energy relative to the lowest polymorph listed for this composition (eV/atom): 0.0000
Magnetic moment (μB/f.u.): 0.000
Space-group type: P4/mmm, No. 123
Formation energy (no corrections) (eV per atom): -0.0140


(2)
DFT (PBE) results for crystalline CaAc4Rh at its relaxed geometry.

a = 10.3107 Å, b = 10.3107 Å, c = 6.7977 Å
α = 107.75°, β = 107.75°, γ = 45.71°
Fractional positions:
Ca  0.1951  0.1951  0.1888
Ca  0.8049  0.8049  0.8112
Ac  0.1379  0.6387  0.3802
Ac  0.2478  0.7522  0.0000
Ac  0.3176  0.3176  0.8043
Ac  0.3613  0.8621  0.6198
Ac  0.6387  0.1379  0.3802
Ac  0.6824  0.6824  0.1957
Ac  0.7522  0.2478  0.0000
Ac  0.8621  0.3613  0.6198
Rh  0.4715  0.4715  0.6745
Rh  0.5285  0.5285  0.3255

## Properties
Calculated formation energy (eV per atom): -0.199
Magnetic moment (μB/f.u.): 0.001
Space-group type: C2/m, No. 12